# 1
Density functional theory data (PBE) for a geometry-optimized Ba3Zr2TlO9 structure.

Properties
Its density of states at the Fermi level is 13.60 states/eV/f.u. The value obtained for the total magnetic moment is 0.76 Bohr magnetons per cell. Its raw formation energy is -2.560 eV per atom.

Lattice parameters (Å, degrees): 6.0884 6.0884 7.4727 90.00 90.00 120.00
Space group P-3m1 (No. 164)
Symmetry-distinct sites (fractional):
Ba  0.0000  0.0000  0.0000 x1
Ba  0.3333  0.6667  0.6600 x2
Zr  0.3333  0.6667  0.1625 x2
Tl  0.0000  0.0000  0.5000 x1
O  0.0000  0.5000  0.0000 x3
O  0.1723  0.3446  0.3247 x6

=====

# 2
Density functional theory data (PBE) for a geometry-optimized Li2TaTe structure.

Properties
Its density of states at the Fermi level is 2.85 states/eV/f.u. The value obtained for the total magnetic moment is 0.00 Bohr magnetons per cell. Its raw formation energy is 0.002 eV per atom.

Lattice parameters (Å, degrees): 3.538 3.538 6.025 90.00 90.00 90.00
Space group P4mm (No. 99)
Symmetry-distinct sites (fractional):
Li  0.000  0.000  0.000 x1
Li  0.500  0.500  0.222 x1
Ta  0.000  0.000  0.487 x1
Te  0.500  0.500  0.704 x1

=====

# 3
Density functional theory data (PBE) for a geometry-optimized LiBeZnPtI structure.

Properties
Its density of states at the Fermi level is 1.61 states/eV/f.u. The value obtained for the total magnetic moment is 0.00 Bohr magnetons per cell. Its energy above the lowest structure with this stoichiometry is 50.5 meV per atom. Its raw formation energy is -0.405 eV per atom.

Lattice parameters (Å, degrees): 7.239 4.267 6.987 90.00 110.67 90.00
Space group Cm (No. 8)
Symmetry-distinct sites (fractional):
Li  0.000  0.000  0.000 x2
Be  0.136  0.000  0.396 x2
Zn  0.283  0.500  0.339 x2
Pt  0.429  0.000  0.289 x2
I  0.263  0.000  0.784 x2

=====

# 4
Density functional theory data (PBE) for a geometry-optimized LaGeSeBr2 structure.

Properties
Its density of states at the Fermi level is 3.37 states/eV/f.u. The value obtained for the total magnetic moment is 1.00 Bohr magnetons per cell. Its raw formation energy is -0.701 eV per atom.

Lattice parameters (Å, degrees): 5.780 5.780 5.858 90.00 90.00 90.00
Space group P4/mmm (No. 123)
Symmetry-distinct sites (fractional):
La  0.000  0.000  0.000 x1
Ge  0.500  0.500  0.500 x1
Se  0.000  0.000  0.500 x1
Br  0.000  0.500  0.000 x2

=====

# 5
Density functional theory data (PBE) for a geometry-optimized Mg3TlHg structure.

Properties
For the formation energy, the calculation gives -42 kJ/mol of formula units. Its density of states at the Fermi level is 1.93 states/eV/f.u. The value obtained for the total magnetic moment is 0.00 Bohr magnetons per cell. Its energy above the lowest structure with this stoichiometry is 0.0 meV per atom.

Lattice parameters (Å, degrees): 8.509 8.222 7.452 90.00 115.50 90.00
Space group P2_1/c (No. 14)
Symmetry-distinct sites (fractional):
Mg  0.038  0.017  0.315 x4
Mg  0.271  0.113  0.098 x4
Mg  0.406  0.689  0.948 x4
Tl  0.360  0.045  0.748 x4
Hg  0.106  0.711  0.547 x4

=====

# 6
Density functional theory data (PBE) for a geometry-optimized Tm8SnGe5 structure.

Properties
For the formation energy, the calculation gives -1094 kJ/mol of formula units. Its density of states at the Fermi level is 1.34 states/eV/f.u. The value obtained for the total magnetic moment is 0.00 Bohr magnetons per cell.

Lattice parameters (Å, degrees): 8.815 8.815 8.744 90.00 90.00 90.00
Space group I-4 (No. 82)
Symmetry-distinct sites (fractional):
Tm  0.065  0.186  0.188 x8
Tm  0.070  0.326  0.560 x8
Sn  0.000  0.000  0.500 x2
Ge  0.000  0.500  0.250 x2
Ge  0.127  0.251  0.874 x8

=====

# 7
Density functional theory data (PBE) for a geometry-optimized K2CuH6Pt structure.

Properties
For the uncorrected energy, the calculation gives -3.44 eV/atom. Its density of states at the Fermi level is 1.89 states/eV/f.u. The value obtained for the total magnetic moment is 0.00 Bohr magnetons per cell.

Lattice parameters (Å, degrees): 5.7841 5.7841 5.0091 90.00 90.00 120.00
Space group P-3m1 (No. 164)
Symmetry-distinct sites (fractional):
K  0.3333  0.6667  0.2407 x2
Cu  0.0000  0.0000  0.5000 x1
H  0.1325  0.2650  0.7759 x6
Pt  0.0000  0.0000  0.0000 x1

=====

# 8
Density functional theory data (PBE) for a geometry-optimized Sc3Nb3B4Ru10 structure.

Properties
For the formation energy, the calculation gives -1053 kJ/mol of formula units. Its density of states at the Fermi level is 13.47 states/eV/f.u. The value obtained for the total magnetic moment is 0.00 Bohr magnetons per cell.

Lattice parameters (Å, degrees): 3.062 13.422 13.441 90.00 90.00 90.00
Space group Amm2 (No. 38)
Symmetry-distinct sites (fractional):
Sc  0.000  0.000  0.000 x2
Sc  0.000  0.175  0.324 x4
Nb  0.000  0.000  0.649 x2
Nb  0.000  0.248  0.072 x4
B  0.000  0.000  0.204 x2
B  0.000  0.000  0.445 x2
B  0.000  0.122  0.822 x4
Ru  0.500  0.000  0.326 x2
Ru  0.500  0.000  0.820 x2
Ru  0.500  0.103  0.506 x4
Ru  0.500  0.106  0.148 x4
Ru  0.500  0.173  0.715 x4
Ru  0.500  0.176  0.928 x4

=====

Question: Which value of total magnetic moment does entry 1 give?
Answer: 0.76 Bohr magnetons per cell

=====

Question: The highest total magnetic moment belongs to which entry?
Answer: LaGeSeBr2